# 1
The following is a PBEsol calculation of Na3RuO4 after structural relaxation, from the Alexandria database.

Lattice parameters (Å, degrees): 10.969 12.781 5.691 90.00 109.78 90.00
Space group C2/m (No. 12)
Asymmetric unit:
Na (0.000, 0.000, 0.000) x2
Na (0.000, 0.125, 0.500) x4
Na (0.000, 0.242, 0.000) x4
Na (0.000, 0.500, 0.000) x2
Na (0.245, 0.376, 0.019) x8
Na (0.250, 0.250, 0.500) x4
Ru (0.000, 0.374, 0.500) x4
Ru (0.247, 0.000, 0.475) x4
O (0.102, 0.274, 0.723) x8
O (0.112, 0.500, 0.702) x4
O (0.122, 0.389, 0.312) x8
O (0.147, 0.108, 0.268) x8
O (0.155, 0.000, 0.700) x4

Values from the calculation:
As for the density: 4.14 g/cm³. The density of states at the Fermi level comes out at 0.71 states/eV per cell. The calculation puts the uncorrected formation energy at -1382 meV per atom. As for the total moment: 0.377 μB/atom.

# 2
The following is a PBEsol calculation of LiGeP2S after structural relaxation, from the Alexandria database.

Lattice parameters (Å, degrees): 4.688 4.688 4.804 90.00 90.00 90.00
Space group P4/mmm (No. 123)
Asymmetric unit:
Li (0.000, 0.000, 0.000) x1
Ge (0.500, 0.500, 0.500) x1
P (0.000, 0.500, 0.500) x2
S (0.500, 0.500, 0.000) x1

Values from the calculation:
As for the density: 2.73 g/cm³. The density of states at the Fermi level comes out at 4.27 states/eV per cell. The calculation puts the uncorrected formation energy at 514 meV per atom. As for the total moment: 0.003 μB/atom.

# 3
The following is a PBEsol calculation of SiTc2Ir after structural relaxation, from the Alexandria database.

Lattice parameters (Å, degrees): 3.802 3.802 7.499 90.00 90.00 90.00
Space group I-4m2 (No. 119)
Asymmetric unit:
Si (0.000, 0.000, 0.000) x2
Tc (0.000, 0.000, 0.500) x2
Tc (0.000, 0.500, 0.250) x2
Ir (0.000, 0.500, 0.750) x2

Values from the calculation:
As for the density: 12.75 g/cm³. The density of states at the Fermi level comes out at 9.59 states/eV per cell. The calculation puts the uncorrected formation energy at -187 meV per atom. As for the total moment: 0.000 μB/atom.

# 4
The following is a PBEsol calculation of Mo2HO6 after structural relaxation, from the Alexandria database.

Lattice parameters (Å, degrees): 3.720 3.761 8.649 100.32 101.21 90.01
Space group P1 (No. 1)
Asymmetric unit:
Mo (0.000, 0.000, 0.000) x1
Mo (0.349, 0.865, 0.665) x1
H (0.153, 0.940, 0.301) x1
O (0.000, 0.503, 0.999) x1
O (0.103, 0.103, 0.218) x1
O (0.255, 0.783, 0.462) x1
O (0.361, 0.375, 0.690) x1
O (0.476, 0.979, 0.945) x1
O (0.882, 0.895, 0.737) x1

Values from the calculation:
As for the density: 4.11 g/cm³. The calculation puts the total energy at -8.260 eV/atom. The density of states at the Fermi level comes out at 1.40 states/eV per cell. As for the total moment: 0.000 μB/atom.

# 5
The following is a PBEsol calculation of HgTeW3 after structural relaxation, from the Alexandria database.

Lattice parameters (Å, degrees): 4.907 4.907 4.907 90.00 90.00 90.00
Space group Pm-3m (No. 221)
Asymmetric unit:
Hg (0.000, 0.000, 0.000) x1
Te (0.500, 0.500, 0.500) x1
W (0.000, 0.000, 0.500) x3

Values from the calculation:
As for the density: 12.37 g/cm³. The density of states at the Fermi level comes out at 8.35 states/eV per cell. The calculation puts the uncorrected formation energy at 3042 meV per atom. As for the total moment: 0.000 μB/atom.

# 6
The following is a PBEsol calculation of SrLiY after structural relaxation, from the Alexandria database.

Lattice parameters (Å, degrees): 7.798 7.798 7.798 90.00 90.00 90.00
Space group F-43m (No. 216)
Asymmetric unit:
Sr (0.000, 0.000, 0.000) x4
Li (0.000, 0.000, 0.500) x4
Y (0.250, 0.250, 0.750) x4

Values from the calculation:
As for the density: 2.57 g/cm³. For the energy above the most stable polymorph in this dataset, the calculation gives 2.07 eV per formula unit. The density of states at the Fermi level comes out at 22.43 states/eV per cell. As for the total moment: 0.002 μB/atom. Its formation energy is 0.87 eV per atom.

# 7
The following is a PBEsol calculation of ScPOs after structural relaxation, from the Alexandria database.

Lattice parameters (Å, degrees): 5.890 5.890 5.890 90.00 90.00 90.00
Space group F-43m (No. 216)
Asymmetric unit:
Sc (0.000, 0.000, 0.000) x4
P (0.000, 0.000, 0.500) x4
Os (0.250, 0.250, 0.250) x4

Values from the calculation:
As for the density: 8.65 g/cm³. The density of states at the Fermi level comes out at 13.00 states/eV per cell. As for the total moment: 0.000 μB/atom. Its formation energy is -0.27 eV per atom.

# 8
The following is a PBEsol calculation of SrCd after structural relaxation, from the Alexandria database.

Lattice parameters (Å, degrees): 3.971 3.971 3.971 90.00 90.00 90.00
Space group Pm-3m (No. 221)
Asymmetric unit:
Sr (0.000, 0.000, 0.000) x1
Cd (0.500, 0.500, 0.500) x1

Values from the calculation:
As for the density: 5.30 g/cm³. The density of states at the Fermi level comes out at 1.33 states/eV per cell. As for the total moment: 0.000 μB/atom. Its formation energy is -0.32 eV per atom.

Q: Which value of density does entry 2 give?
A: 2.73 g/cm³

Q: Which of these has the highest density of states at the Fermi level?
A: SrLiY

Q: What is the density of states at the Fermi level in the first record?
A: 0.71 states/eV per cell